[1]
Here is a relaxed MnCoPt crystal from Alexandria. Energies are from PBE.

Summary:
- Energy relative to the elements: -60 meV per atom
- Space group: Imm2, No. 44
- Total magnetic moment: 1.868 μB per atom
- Offset from the most stable computed form: 0.00 eV per formula unit
- Uncorrected energy: -7.499 eV/atom

Cell: 4.7615 4.7615 4.7615 Å, 146.06 136.99 55.88°
Fractional positions:
Co 0.9942 0.9942 0.0000
Pt 0.6664 0.6664 0.0000
Mn 0.3395 0.3395 0.0000

---

[2]
Here is a relaxed Hf7Tl2Sn2 crystal from Alexandria. Energies are from PBE.

Summary:
- Energy relative to the elements: 406 meV per atom
- Space group: Cmmm, No. 65
- Total magnetic moment: 0.000 μB per atom
- Uncorrected energy: -7.086 eV/atom

Cell: 6.4548 6.8555 6.4547 Å, 89.98 102.39 90.02°
Fractional positions:
Hf 0.5002 0.7203 0.0001
Hf 0.5000 0.7252 0.5000
Hf 0.0000 0.0000 0.0000
Hf 0.5000 0.2748 0.5000
Hf 0.0001 0.2797 0.5002
Hf 0.9999 0.7203 0.4998
Hf 0.4998 0.2797 0.9999
Sn 0.7141 0.0001 0.2859
Sn 0.2859 0.9999 0.7141
Tl 0.1773 0.5000 0.1773
Tl 0.8227 0.5000 0.8227